1.
Material: KMgW2
Method: DFT, PBE
State: relaxed

Cell and atoms, written as POSCAR:
```
KMgW2
1.0
-3.0628 2.5066 -2.5732
-4.4149 0.3402 -1.6365
-2.1876 4.0893 6.3003
K W Mg
1 2 1
direct
0.5021 0.5021 0.5168
0.7447 0.7447 0.8359
0.9947 0.9947 0.9804
0.2585 0.2585 0.1669
```

Values from the calculation:
formation energy from the elements	0.9806	eV per atom

=====

2.
Material: KMgW2
Method: DFT, PBE
State: relaxed

Cell and atoms, written as POSCAR:
```
KMgW2
1.0
-2.2673 -2.0664 2.6894
1.1870 -2.4091 -0.8504
6.8476 -0.6665 5.2608
K W Mg
1 2 1
direct
0.0000 0.4643 0.4824
0.0000 0.0512 0.0218
0.5000 0.2860 0.1664
0.5000 0.6985 0.8295
```

Values from the calculation:
formation energy from the elements	0.8097	eV per atom

=====

3.
Material: KMgW2
Method: DFT, PBE
State: relaxed

Cell and atoms, written as POSCAR:
```
KMgW2
1.0
-0.1490 -1.3473 -2.9926
-1.8313 -2.4518 1.1950
-7.6072 4.8109 -1.7871
W Mg K
2 1 1
direct
0.0000 0.0000 0.0317
0.5000 0.5000 0.1603
0.5000 0.5000 0.8288
0.0000 0.0000 0.4792
```

Values from the calculation:
formation energy from the elements	0.7375	eV per atom

=====

4.
Material: KMgW2
Method: DFT, PBE
State: relaxed

Cell and atoms, written as POSCAR:
```
KMgW2
1.0
2.9839 0.0000 0.0000
0.0000 4.7939 0.0000
0.0000 0.0000 5.5395
K W Mg
1 2 1
direct
0.5000 0.0000 0.5000
0.5000 0.5000 0.0000
0.0000 0.0000 0.0000
0.0000 0.5000 0.5000
```

Values from the calculation:
formation energy from the elements	1.3465	eV per atom

=====

5.
Material: KMgW2
Method: DFT, PBE
State: relaxed

Cell and atoms, written as POSCAR:
```
KMgW2
1.0
3.6002 0.0000 0.0000
0.0000 3.6002 0.0000
0.0000 0.0000 7.7784
W K Mg
2 1 1
direct
0.0000 0.0000 0.6042
0.0000 0.0000 0.8958
0.5000 0.5000 0.2500
0.5000 0.5000 0.7500
```

Values from the calculation:
formation energy from the elements	1.3881	eV per atom

=====

6.
Material: KMg2W
Method: DFT, PBE
State: relaxed

Cell and atoms, written as POSCAR:
```
KMg2W
1.0
6.6499 0.0021 -0.0002
3.6681 5.5468 0.0002
-4.2750 -4.4182 2.5348
Mg K W
2 1 1
direct
0.2664 0.7664 0.5000
0.0172 0.0172 0.0000
0.7446 0.2446 0.5000
0.4717 0.4717 0.0000
```

Values from the calculation:
formation energy from the elements	0.9452	eV per atom

=====

Question: Look up the formation energy from the elements of the fourth one.
Answer: 1.3465 eV per atom